A relaxed YTa2As crystal. Source: Alexandria, functional PBE-GGA.

Cell: 4.7610 4.7610 5.7628 Å, 102.92 102.92 42.57°
With the nearest neighbours (Å) after each atom.
Fractional coordinates of all 4 atoms:
1 Y 0.0000 0.0000 0.0000  3 As 2.92-3.26, 3 Ta 3.06-3.27
2 Ta 0.5350 0.5350 0.5314  3 As 2.68-2.77, 3 Ta 2.69-2.84
3 Ta 0.7820 0.7820 0.3379  3 Ta 2.69-2.84, 2 As 2.73
4 As 0.2672 0.2672 0.6985  5 Ta 2.68-2.77, 2 Y 2.92

Calculated values
The value obtained for the total moment is 0.00 μB per atom. As for the space group: Cm (8). The calculated formation energy is -0.0181 eV per atom.